TiFe3Pt: optimized geometry, PBEsol.

extended XYZ file:
```
5
Lattice="4.156 0.000 0.000 0.000 4.156 0.000 0.000 0.000 4.156" Properties=species:S:1:pos:R:3 pbc="T T T"
Ti 0.000 0.000 0.000
Fe 0.000 0.000 2.078
Fe 0.000 2.078 0.000
Fe 2.078 0.000 0.000
Pt 2.078 2.078 2.078
```

Magnetization   1.124 μB/atom
Calculated formation energy   1078 meV per atom
SG   No. 221